No. 1
First-principles (GGA-PBE) data for crystalline TiCdFe4 at its relaxed geometry, as listed in the Alexandria database.

Values from the calculation:
Total DFT energy (no corrections) = -7.160 eV per atom
M_tot = 6.221 μB/f.u.
DOS(E_F) = 7.0 states/eV/f.u.

a = 4.834 Å, b = 4.834 Å, c = 4.834 Å
α = 60.00°, β = 60.00°, γ = 60.00°
Site moments in Bohr magnetons follow the coordinates.
Fractional coordinates of all 6 atoms:
Fe1 0.625 0.625 0.625  1.85
Fe2 0.625 0.124 0.625  1.85
Fe3 0.124 0.625 0.625  1.85
Fe4 0.625 0.625 0.124  1.85
Ti1 0.250 0.250 0.250  -0.84
Cd1 0.000 0.000 0.000  -0.05



No. 2
First-principles (GGA-PBE) data for crystalline TiCd2Fe at its relaxed geometry, as listed in the Alexandria database.

Values from the calculation:
Relative energy among the computed polymorphs = 0.000 kcal/mol of atoms
Total DFT energy (no corrections) = -4.149 eV per atom
M_tot = 0.000 μB/f.u.
DOS(E_F) = 6.9 states/eV/f.u.

a = 4.552 Å, b = 4.552 Å, c = 4.552 Å
α = 60.00°, β = 60.00°, γ = 60.00°
Fractional coordinates of all 4 atoms:
Fe1 0.500 0.500 0.500
Cd1 0.250 0.250 0.250
Cd2 0.750 0.750 0.750
Ti1 0.000 0.000 0.000



No. 3
First-principles (GGA-PBE) data for crystalline TiCdFe3 at its relaxed geometry, as listed in the Alexandria database.

Values from the calculation:
Relative energy among the computed polymorphs = 0.000 kcal/mol of atoms
Total DFT energy (no corrections) = -5.859 eV per atom
M_tot = 4.898 μB/f.u.
DOS(E_F) = 4.4 states/eV/f.u.

a = 4.372 Å, b = 4.372 Å, c = 4.372 Å
α = 90.00°, β = 90.00°, γ = 90.00°
Site moments in Bohr magnetons follow the coordinates.
Fractional coordinates of all 5 atoms:
Fe1 0.000 0.000 0.500  2.08
Fe2 0.500 0.000 0.000  1.73
Fe3 0.000 0.500 0.000  2.06
Cd1 0.500 0.500 0.500  -0.05
Ti1 0.000 0.000 0.000  -0.76



No. 4
First-principles (GGA-PBE) data for crystalline TiCd3Fe at its relaxed geometry, as listed in the Alexandria database.

Values from the calculation:
Relative energy among the computed polymorphs = 8.785 kcal/mol of atoms
Total DFT energy (no corrections) = -2.479 eV per atom
M_tot = 5.317 μB/f.u.
DOS(E_F) = 9.0 states/eV/f.u.

a = 5.243 Å, b = 5.243 Å, c = 5.243 Å
α = 90.00°, β = 90.00°, γ = 90.00°
Site moments in Bohr magnetons follow the coordinates.
Fractional coordinates of all 5 atoms:
Ti1 0.000 0.000 0.000  1.35
Fe1 0.500 0.500 0.500  3.28
Cd1 0.500 0.000 0.000  0.10
Cd2 0.000 0.500 0.000  0.04
Cd3 0.000 0.000 0.500  0.03



No. 5
First-principles (GGA-PBE) data for crystalline TiCdFe3 at its relaxed geometry, as listed in the Alexandria database.

Values from the calculation:
Relative energy among the computed polymorphs = 13.682 kcal/mol of atoms
Total DFT energy (no corrections) = -5.266 eV per atom
M_tot = 6.662 μB/f.u.
DOS(E_F) = 6.1 states/eV/f.u.

a = 4.710 Å, b = 4.710 Å, c = 4.710 Å
α = 90.00°, β = 90.00°, γ = 90.00°
Site moments in Bohr magnetons follow the coordinates.
Fractional coordinates of all 5 atoms:
Fe1 0.000 0.500 0.000  3.07
Fe2 0.000 0.000 0.500  3.11
Fe3 0.500 0.000 0.000  2.81
Cd1 0.000 0.000 0.000  -0.06
Ti1 0.500 0.500 0.500  -1.61



No. 6
First-principles (GGA-PBE) data for crystalline Tl2CdFe at its relaxed geometry, as listed in the Alexandria database.

Values from the calculation:
Relative energy among the computed polymorphs = 5.436 kcal/mol of atoms
Total DFT energy (no corrections) = -2.930 eV per atom
M_tot = 2.805 μB/f.u.
DOS(E_F) = 4.8 states/eV/f.u.

a = 4.485 Å, b = 4.485 Å, c = 10.295 Å
α = 77.42°, β = 77.42°, γ = 90.00°
Site moments in Bohr magnetons follow the coordinates.
Fractional coordinates of all 8 atoms:
Cd1 0.750 0.250 0.500  -0.02
Cd2 0.000 0.000 0.000  -0.02
Fe1 0.250 0.750 0.500  2.90
Fe2 0.500 0.500 0.000  2.90
Tl1 0.149 0.625 0.250  -0.03
Tl2 0.875 0.851 0.750  -0.03
Tl3 0.601 0.125 0.250  -0.03
Tl4 0.375 0.399 0.750  -0.03



No. 7
First-principles (GGA-PBE) data for crystalline Tl2CdFe at its relaxed geometry, as listed in the Alexandria database.

Values from the calculation:
Relative energy among the computed polymorphs = 3.318 kcal/mol of atoms
Total DFT energy (no corrections) = -3.022 eV per atom
M_tot = 2.775 μB/f.u.
DOS(E_F) = 3.9 states/eV/f.u.

a = 5.747 Å, b = 5.747 Å, c = 5.747 Å
α = 136.16°, β = 136.16°, γ = 63.74°
Site moments in Bohr magnetons follow the coordinates.
Fractional coordinates of all 4 atoms:
Cd1 0.500 0.500 0.000  -0.02
Tl1 0.250 0.750 0.500  -0.02
Tl2 0.000 0.000 0.000  -0.02
Fe1 0.750 0.250 0.500  2.92



No. 8
First-principles (GGA-PBE) data for crystalline TlCd2Fe at its relaxed geometry, as listed in the Alexandria database.

Values from the calculation:
Relative energy among the computed polymorphs = 0.000 kcal/mol of atoms
Total DFT energy (no corrections) = -2.887 eV per atom
M_tot = 2.535 μB/f.u.
DOS(E_F) = 1.9 states/eV/f.u.

a = 3.097 Å, b = 3.096 Å, c = 8.910 Å
α = 90.00°, β = 90.00°, γ = 90.00°
Site moments in Bohr magnetons follow the coordinates.
Fractional coordinates of all 4 atoms:
Fe1 0.500 0.500 0.250  2.70
Cd1 0.000 0.000 0.053  -0.04
Cd2 0.000 0.000 0.447  -0.04
Tl1 0.500 0.500 0.750  -0.01



No. 9
First-principles (GGA-PBE) data for crystalline TlCd2Fe at its relaxed geometry, as listed in the Alexandria database.

Values from the calculation:
Relative energy among the computed polymorphs = 1.851 kcal/mol of atoms
Total DFT energy (no corrections) = -2.807 eV per atom
M_tot = 2.390 μB/f.u.
DOS(E_F) = 1.8 states/eV/f.u.

a = 5.643 Å, b = 5.643 Å, c = 5.568 Å
α = 63.98°, β = 63.98°, γ = 31.70°
Site moments in Bohr magnetons follow the coordinates.
Fractional coordinates of all 4 atoms:
Cd1 0.993 0.993 0.039  -0.04
Cd2 0.217 0.217 0.208  -0.04
Fe1 0.510 0.510 0.603  2.65
Tl1 0.779 0.779 0.650  -0.04



No. 10
First-principles (GGA-PBE) data for crystalline Tl2CdFe at its relaxed geometry, as listed in the Alexandria database.

Values from the calculation:
Relative energy among the computed polymorphs = 0.118 kcal/mol of atoms
Total DFT energy (no corrections) = -3.161 eV per atom
M_tot = 2.380 μB/f.u.
DOS(E_F) = 3.2 states/eV/f.u.

a = 7.227 Å, b = 7.227 Å, c = 7.227 Å
α = 155.83°, β = 142.29°, γ = 45.29°
Site moments in Bohr magnetons follow the coordinates.
Fractional coordinates of all 4 atoms:
Tl1 0.937 0.937 0.000  -0.01
Tl2 0.245 0.745 0.500  -0.06
Cd1 0.569 0.569 0.000  -0.01
Fe1 0.749 0.249 0.500  2.55



No. 11
First-principles (GGA-PBE) data for crystalline TlCd2Fe at its relaxed geometry, as listed in the Alexandria database.

Values from the calculation:
Relative energy among the computed polymorphs = 0.991 kcal/mol of atoms
Total DFT energy (no corrections) = -2.844 eV per atom
M_tot = 2.285 μB/f.u.
DOS(E_F) = 3.0 states/eV/f.u.

a = 7.120 Å, b = 7.120 Å, c = 7.120 Å
α = 156.23°, β = 141.78°, γ = 45.51°
Site moments in Bohr magnetons follow the coordinates.
Fractional coordinates of all 4 atoms:
Tl1 0.315 0.815 0.500  -0.02
Fe1 0.499 0.499 0.000  2.48
Cd1 0.008 0.008 0.000  -0.05
Cd2 0.678 0.178 0.500  -0.03



No. 12
First-principles (GGA-PBE) data for crystalline Tl2CdFe at its relaxed geometry, as listed in the Alexandria database.

Values from the calculation:
Relative energy among the computed polymorphs = 3.603 kcal/mol of atoms
Total DFT energy (no corrections) = -3.009 eV per atom
M_tot = 2.999 μB/f.u.
DOS(E_F) = 2.0 states/eV/f.u.

a = 5.931 Å, b = 5.931 Å, c = 3.263 Å
α = 75.06°, β = 75.06°, γ = 113.58°
Site moments in Bohr magnetons follow the coordinates.
Fractional coordinates of all 4 atoms:
Cd1 0.500 0.000 0.500  0.00
Tl1 0.000 0.000 0.000  0.00
Tl2 0.500 0.500 0.000  0.00
Fe1 0.000 0.500 0.500  3.02



No. 13
First-principles (GGA-PBE) data for crystalline TlCd2Fe at its relaxed geometry, as listed in the Alexandria database.

Values from the calculation:
Relative energy among the computed polymorphs = 3.028 kcal/mol of atoms
Total DFT energy (no corrections) = -2.756 eV per atom
M_tot = 2.541 μB/f.u.
DOS(E_F) = 2.4 states/eV/f.u.

a = 5.298 Å, b = 5.298 Å, c = 3.195 Å
α = 90.00°, β = 90.00°, γ = 112.93°
Site moments in Bohr magnetons follow the coordinates.
Fractional coordinates of all 4 atoms:
Tl1 0.000 0.500 0.500  -0.03
Cd1 0.000 0.000 0.000  -0.04
Cd2 0.500 0.500 0.000  -0.04
Fe1 0.500 0.000 0.500  2.79



No. 14
First-principles (GGA-PBE) data for crystalline Tl2CdFe at its relaxed geometry, as listed in the Alexandria database.

Values from the calculation:
Relative energy among the computed polymorphs = 5.375 kcal/mol of atoms
Total DFT energy (no corrections) = -2.933 eV per atom
M_tot = 2.980 μB/f.u.
DOS(E_F) = 4.9 states/eV/f.u.

a = 5.117 Å, b = 5.117 Å, c = 5.117 Å
α = 60.00°, β = 60.00°, γ = 60.00°
Site moments in Bohr magnetons follow the coordinates.
Fractional coordinates of all 4 atoms:
Tl1 0.000 0.000 0.000  -0.02
Tl2 0.250 0.250 0.250  -0.01
Cd1 0.500 0.500 0.500  -0.01
Fe1 0.750 0.750 0.750  2.94



No. 15
First-principles (GGA-PBE) data for crystalline TlCd3Fe at its relaxed geometry, as listed in the Alexandria database.

Values from the calculation:
Total DFT energy (no corrections) = -2.192 eV per atom
M_tot = 0.000 μB/f.u.
DOS(E_F) = 5.7 states/eV/f.u.

a = 5.065 Å, b = 5.065 Å, c = 5.065 Å
α = 90.00°, β = 90.00°, γ = 90.00°
Fractional coordinates of all 5 atoms:
Fe1 0.000 0.000 0.000
Cd1 0.500 0.000 0.000
Cd2 0.000 0.000 0.500
Cd3 0.000 0.500 0.000
Tl1 0.500 0.500 0.500



No. 16
First-principles (GGA-PBE) data for crystalline Tl2CdFe at its relaxed geometry, as listed in the Alexandria database.

Values from the calculation:
Relative energy among the computed polymorphs = 0.188 kcal/mol of atoms
Total DFT energy (no corrections) = -3.158 eV per atom
M_tot = 2.368 μB/f.u.
DOS(E_F) = 2.6 states/eV/f.u.

a = 3.088 Å, b = 4.560 Å, c = 7.235 Å
α = 71.64°, β = 90.00°, γ = 90.00°
Site moments in Bohr magnetons follow the coordinates.
Fractional coordinates of all 4 atoms:
Fe1 0.500 0.510 0.854  2.54
Tl1 0.500 0.309 0.257  -0.02
Tl2 0.000 0.000 0.875  -0.07
Cd1 0.000 0.680 0.515  -0.02



No. 17
First-principles (GGA-PBE) data for crystalline Tl2CdFe at its relaxed geometry, as listed in the Alexandria database.

Values from the calculation:
Relative energy among the computed polymorphs = 3.510 kcal/mol of atoms
Total DFT energy (no corrections) = -3.013 eV per atom
M_tot = 3.064 μB/f.u.
DOS(E_F) = 3.2 states/eV/f.u.

a = 4.087 Å, b = 4.716 Å, c = 4.716 Å
α = 90.00°, β = 90.00°, γ = 90.00°
Site moments in Bohr magnetons follow the coordinates.
Fractional coordinates of all 4 atoms:
Tl1 0.000 0.500 0.500  0.00
Tl2 0.000 0.000 0.000  0.00
Fe1 0.500 0.000 0.500  3.00
Cd1 0.500 0.500 0.000  0.01



No. 18
First-principles (GGA-PBE) data for crystalline Tl2CdFe at its relaxed geometry, as listed in the Alexandria database.

Values from the calculation:
Relative energy among the computed polymorphs = 0.000 kcal/mol of atoms
Total DFT energy (no corrections) = -3.166 eV per atom
M_tot = 2.685 μB/f.u.
DOS(E_F) = 2.8 states/eV/f.u.

a = 3.182 Å, b = 3.182 Å, c = 9.086 Å
α = 90.00°, β = 90.00°, γ = 90.02°
Site moments in Bohr magnetons follow the coordinates.
Fractional coordinates of all 4 atoms:
Fe1 0.500 0.500 0.738  2.77
Tl1 0.500 0.500 0.260  -0.01
Tl2 0.000 0.000 0.949  -0.01
Cd1 0.000 0.000 0.553  -0.03



No. 19
First-principles (GGA-PBE) data for crystalline Tl2CdFe at its relaxed geometry, as listed in the Alexandria database.

Values from the calculation:
Relative energy among the computed polymorphs = 2.376 kcal/mol of atoms
Total DFT energy (no corrections) = -3.063 eV per atom
M_tot = 2.688 μB/f.u.
DOS(E_F) = 4.1 states/eV/f.u.

a = 3.180 Å, b = 3.180 Å, c = 8.981 Å
α = 90.00°, β = 90.00°, γ = 90.03°
Site moments in Bohr magnetons follow the coordinates.
Fractional coordinates of all 4 atoms:
Tl1 0.000 0.000 0.538  -0.02
Tl2 0.000 0.000 0.962  -0.02
Cd1 0.500 0.500 0.250  -0.01
Fe1 0.500 0.500 0.750  2.78



No. 20
First-principles (GGA-PBE) data for crystalline Tl2CdFe at its relaxed geometry, as listed in the Alexandria database.

Values from the calculation:
Relative energy among the computed polymorphs = 0.327 kcal/mol of atoms
Total DFT energy (no corrections) = -3.152 eV per atom
M_tot = 2.383 μB/f.u.
DOS(E_F) = 3.6 states/eV/f.u.

a = 7.428 Å, b = 7.428 Å, c = 7.428 Å
α = 156.60°, β = 143.29°, γ = 44.00°
Site moments in Bohr magnetons follow the coordinates.
Fractional coordinates of all 4 atoms:
Fe1 0.750 0.250 0.500  2.55
Cd1 0.250 0.750 0.500  -0.05
Tl1 0.927 0.927 0.000  -0.02
Tl2 0.573 0.573 0.000  -0.02